[1]
A plane-wave DFT calculation with PBE was carried out for a relaxed structure of RbNp4S8.

Computed properties:
Electronic total energy, eV per atom: -7.873
E_form (uncorrected), eV/atom: -1.276

abc: 8.2895 8.2895 8.2895
angles: 60.00 60.00 60.00
With the nearest neighbours (Å) after each atom.
Element x y z (fractional)
Np (0.3732, 0.3732, 0.3732)  6 S 2.72
Np (0.3732, 0.8804, 0.3732)  6 S 2.72
S (0.6024, 0.6024, 0.6024)  3 Np 2.72, 1 Rb 3.00
S (0.1424, 0.1424, 0.5728)  3 Np 2.72
Rb (0.7500, 0.7500, 0.7500)  4 S 3.00
S (0.6024, 0.1929, 0.6024)  3 Np 2.72, 1 Rb 3.00
S (0.6024, 0.6024, 0.1929)  3 Np 2.72, 1 Rb 3.00
S (0.1424, 0.5728, 0.1424)  3 Np 2.72
S (0.1929, 0.6024, 0.6024)  3 Np 2.72, 1 Rb 3.00
Np (0.3732, 0.3732, 0.8804)  6 S 2.72
Np (0.8804, 0.3732, 0.3732)  6 S 2.72
S (0.1424, 0.1424, 0.1424)  3 Np 2.72
S (0.5728, 0.1424, 0.1424)  3 Np 2.72


[2]
A plane-wave DFT calculation with PBE was carried out for a relaxed structure of InAgBr2.

Computed properties:
Electronic total energy, eV per atom: -2.699
E_form (uncorrected), eV/atom: -0.465

abc: 4.5136 4.8522 6.6958
angles: 83.13 90.00 90.00
With the nearest neighbours (Å) after each atom.
Element x y z (fractional)
Ag (0.5000, 0.9013, 0.7592)  3 Br 2.64-2.65
In (0.0000, 0.6826, 0.4028)  5 Br 3.13-3.39
Br (0.0000, 0.7115, 0.9334)  2 Ag 2.65
Br (0.5000, 0.2046, 0.4046)  1 Ag 2.64


[3]
A plane-wave DFT calculation with PBE was carried out for a relaxed structure of PuCdCuNi.

Computed properties:
Electronic total energy, eV per atom: -6.217
Formation energy, eV per atom: 0.065

abc: 4.6988 4.6988 4.6988
angles: 60.00 60.00 60.00
With the nearest neighbours (Å) after each atom.
Element x y z (fractional)
Ni (0.0000, 0.0000, 0.0000)  4 Pu 2.88, 4 Cd 2.88
Cu (0.5000, 0.5000, 0.5000)  4 Cd 2.88, 4 Pu 2.88
Pu (0.7500, 0.7500, 0.7500)  4 Ni 2.88, 4 Cu 2.88
Cd (0.2500, 0.2500, 0.2500)  4 Ni 2.88, 4 Cu 2.88


[4]
A plane-wave DFT calculation with PBE was carried out for a relaxed structure of CsCd3Te3.

Computed properties:
Electronic total energy, eV per atom: -2.342
E_form (uncorrected), eV/atom: -0.481

abc: 8.6383 8.6383 10.3654
angles: 65.37 65.37 60.00
With the nearest neighbours (Å) after each atom.
Element x y z (fractional)
Te (0.9026, 0.2350, 0.2959)  4 Cd 2.95-3.03
Te (0.7650, 0.4335, 0.7041)  4 Cd 2.95-3.03
Te (0.5665, 0.9026, 0.2959)  4 Cd 2.95-3.03
Te (0.4335, 0.0974, 0.7041)  4 Cd 2.95-3.03
Cd (0.2092, 0.8747, 0.3707)  4 Te 2.95-3.03
Cd (0.7908, 0.1253, 0.6293)  4 Te 2.95-3.03
Cd (0.5454, 0.2092, 0.3707)  4 Te 2.95-3.03
Te (0.0974, 0.7650, 0.7041)  4 Cd 2.95-3.03
Cd (0.4546, 0.7908, 0.6293)  4 Te 2.95-3.03
Cd (0.8747, 0.5454, 0.3707)  4 Te 2.95-3.03
Cs (0.3335, 0.3335, 0.9995)  6 Te 3.93-3.94
Te (0.2350, 0.5665, 0.2959)  4 Cd 2.95-3.03
Cd (0.1253, 0.4546, 0.6293)  4 Te 2.95-3.03
Cs (0.6665, 0.6665, 0.0005)  6 Te 3.93-3.94


[5]
A plane-wave DFT calculation with PBE was carried out for a relaxed structure of NiRu3.

Computed properties:
Electronic total energy, eV per atom: -8.325
Formation energy, eV per atom: 0.077

abc: 5.3241 4.2497 4.6798
angles: 90.00 90.00 90.00
With the nearest neighbours (Å) after each atom.
Element x y z (fractional)
Ru (0.7439, 0.0000, 0.1669)  8 Ru 2.60-2.73, 4 Ni 2.62-2.74
Ru (0.2561, 0.0000, 0.1669)  8 Ru 2.60-2.73, 4 Ni 2.62-2.74
Ru (0.5000, 0.0000, 0.6561)  4 Ni 2.59-2.66, 8 Ru 2.63-2.72
Ru (0.2439, 0.5000, 0.8331)  8 Ru 2.60-2.73, 4 Ni 2.62-2.74
Ru (0.0000, 0.5000, 0.3439)  4 Ni 2.59-2.66, 8 Ru 2.63-2.72
Ni (0.5000, 0.5000, 0.3410)  12 Ru 2.59-2.74
Ni (0.0000, 0.0000, 0.6590)  12 Ru 2.59-2.74
Ru (0.7561, 0.5000, 0.8331)  8 Ru 2.60-2.73, 4 Ni 2.62-2.74


[6]
A plane-wave DFT calculation with PBE was carried out for a relaxed structure of ZnPH2.

Computed properties:
Electronic total energy, eV per atom: -3.165

abc: 4.0747 3.7195 7.4199
angles: 90.00 113.76 90.00
With the nearest neighbours (Å) after each atom.
Element x y z (fractional)
H (0.8742, 0.2663, 0.7128)  1 P 1.52
H (0.8742, 0.7663, 0.2128)  1 P 1.52
Zn (0.3531, 0.5000, 0.8154)  2 H 1.99
H (0.8742, 0.7337, 0.7128)  1 P 1.52
P (0.5663, 0.0000, 0.6624)  2 H 1.52
Zn (0.3531, 0.0000, 0.3154)  2 H 1.99
P (0.5663, 0.5000, 0.1624)  2 H 1.52
H (0.8742, 0.2337, 0.2128)  1 P 1.52


[7]
A plane-wave DFT calculation with PBE was carried out for a relaxed structure of Ba4I3O2.

Computed properties:
Electronic total energy, eV per atom: -4.457
E_form (uncorrected), eV/atom: -1.984

abc: 8.0586 10.1556 11.5795
angles: 116.01 110.36 90.00
With the nearest neighbours (Å) after each atom.
Element x y z (fractional)
Ba (0.0813, 0.1909, 0.1627)  2 O 2.49-2.57
Ba (0.4187, 0.5282, 0.8373)  2 O 2.49-2.57
I (0.2500, 0.1496, 0.5000)  6 Ba 3.75-3.88, 2 O 3.90
O (0.5476, 0.6832, 0.0951)  4 Ba 2.49-2.58
Ba (0.1447, 0.1447, 0.7893)  2 O 2.58
O (0.4524, 0.3168, 0.9049)  4 Ba 2.49-2.58
I (0.7500, 0.8504, 0.5000)  6 Ba 3.75-3.88, 2 O 3.90
I (0.1200, 0.5791, 0.2400)  3 Ba 3.59-3.63
Ba (0.8553, 0.8553, 0.2107)  2 O 2.58
O (0.9524, 0.0881, 0.9049)  4 Ba 2.49-2.58
Ba (0.3553, 0.8553, 0.2107)  2 O 2.58
Ba (0.6447, 0.1447, 0.7893)  2 O 2.58
I (0.3800, 0.8391, 0.7600)  3 Ba 3.59-3.63
I (0.6200, 0.1609, 0.2400)  3 Ba 3.59-3.63
O (0.0476, 0.9119, 0.0951)  4 Ba 2.49-2.58
I (0.8800, 0.4209, 0.7600)  3 Ba 3.59-3.63
Ba (0.9187, 0.8091, 0.8373)  2 O 2.49-2.57
Ba (0.5813, 0.4718, 0.1627)  2 O 2.49-2.57


[8]
A plane-wave DFT calculation with PBE was carried out for a relaxed structure of Mn2SbI.

Computed properties:
Electronic total energy, eV per atom: -5.024
E_form (uncorrected), eV/atom: 0.979

abc: 5.8421 5.8421 6.9757
angles: 65.24 65.24 90.00
With the nearest neighbours (Å) after each atom.
Element x y z (fractional)
Mn (0.3750, 0.3708, 0.7500)  2 I 2.48, 2 Sb 2.51
Sb (0.2500, 0.7500, 0.5000)  4 Mn 2.51
Mn (0.6292, 0.1250, 0.2500)  2 I 2.48, 2 Sb 2.51
I (0.7500, 0.2500, 0.5000)  4 Mn 2.48
Mn (0.1208, 0.6250, 0.2500)  2 I 2.48, 2 Sb 2.51
Sb (0.5000, 0.5000, 0.0000)  4 Mn 2.51
Mn (0.8750, 0.8792, 0.7500)  2 I 2.48, 2 Sb 2.51
I (0.0000, 0.0000, 0.0000)  4 Mn 2.48


[9]
A plane-wave DFT calculation with PBE was carried out for a relaxed structure of UTcNi.

Computed properties:
Electronic total energy, eV per atom: -8.846
Formation energy, eV per atom: 0.299

abc: 2.7673 2.7673 7.1889
angles: 90.00 90.00 120.00
With the nearest neighbours (Å) after each atom.
Element x y z (fractional)
U (0.6667, 0.3333, 0.3235)  6 U 2.77, 3 Ni 2.94
Ni (0.0000, 0.0000, 0.9796)  3 Tc 2.59, 6 Ni 2.77
Tc (0.3333, 0.6667, 0.6969)  3 Ni 2.59, 6 Tc 2.77


[10]
A plane-wave DFT calculation with PBE was carried out for a relaxed structure of NaCa2OsO.

Computed properties:
Electronic total energy, eV per atom: -4.749
E_form (uncorrected), eV/atom: -0.447

abc: 4.6993 4.6993 4.4832
angles: 90.00 90.00 90.00
With the nearest neighbours (Å) after each atom.
Element x y z (fractional)
Ca (0.5000, 0.0000, 0.0000)  2 O 2.35
Os (0.5000, 0.5000, 0.5000)  8 Ca 3.25, 4 Na 3.32
Ca (0.0000, 0.5000, 0.0000)  2 O 2.35
Na (0.0000, 0.0000, 0.5000)  2 O 2.24
O (0.0000, 0.0000, 0.0000)  2 Na 2.24, 4 Ca 2.35


[11]
A plane-wave DFT calculation with PBE was carried out for a relaxed structure of TiCuPt3.

Computed properties:
Electronic total energy, eV per atom: -6.261
Formation energy, eV per atom: -0.238

abc: 4.5214 6.3972 6.3972
angles: 116.20 90.00 90.00
With the nearest neighbours (Å) after each atom.
Element x y z (fractional)
Pt (0.7500, 0.2145, 0.3884)  2 Cu 2.51, 2 Pt 2.63-2.69, 3 Ti 2.69-2.81
Ti (0.7500, 0.6405, 0.3595)  8 Pt 2.69-2.82
Pt (0.2500, 0.3884, 0.2145)  2 Cu 2.51, 2 Pt 2.63-2.69, 3 Ti 2.69-2.81
Ti (0.2500, 0.3595, 0.6405)  8 Pt 2.69-2.82
Pt (0.7500, 0.2046, 0.7954)  2 Cu 2.49, 2 Pt 2.63
Pt (0.2500, 0.7855, 0.6116)  2 Cu 2.51, 2 Pt 2.63-2.69, 3 Ti 2.69-2.81
Pt (0.7500, 0.6116, 0.7855)  2 Cu 2.51, 2 Pt 2.63-2.69, 3 Ti 2.69-2.81
Cu (0.0000, 0.0000, 0.0000)  2 Cu 2.26, 6 Pt 2.49-2.51
Cu (0.5000, 0.0000, 0.0000)  2 Cu 2.26, 6 Pt 2.49-2.51
Pt (0.2500, 0.7954, 0.2046)  2 Cu 2.49, 2 Pt 2.63


[12]
A plane-wave DFT calculation with PBE was carried out for a relaxed structure of Ag4AuO5.

Computed properties:
Electronic total energy, eV per atom: -3.929
E_form (uncorrected), eV/atom: 0.019

abc: 4.5869 5.9091 5.9091
angles: 81.34 67.16 67.16
With the nearest neighbours (Å) after each atom.
Element x y z (fractional)
O (0.9476, 0.3161, 0.7908)  1 Au 2.06, 1 Ag 2.29
O (0.7384, 0.2092, 0.3161)  1 Au 2.06, 1 Ag 2.29
Ag (0.2085, 0.1988, 0.3862)  4 O 2.29-2.37
O (0.5010, 0.0000, 0.0000)  2 Au 2.29, 4 Ag 2.37
Au (0.0010, 0.0000, 0.0000)  6 O 2.06-2.29
O (0.2637, 0.7908, 0.6839)  1 Au 2.06, 1 Ag 2.29
Ag (0.4074, 0.3862, 0.8012)  4 O 2.29-2.37
Ag (0.7935, 0.8012, 0.6138)  4 O 2.29-2.37
Ag (0.5947, 0.6138, 0.1988)  4 O 2.29-2.37
O (0.0545, 0.6839, 0.2092)  1 Au 2.06, 1 Ag 2.29


[13]
A plane-wave DFT calculation with PBE was carried out for a relaxed structure of Tl3TcF7.

Computed properties:
Electronic total energy, eV per atom: -4.805
E_form (uncorrected), eV/atom: -2.026

abc: 6.1739 6.1739 7.1770
angles: 67.53 67.53 86.29
With the nearest neighbours (Å) after each atom.
Element x y z (fractional)
F (0.0346, 0.6968, 0.1613)  1 Tc 1.97
F (0.3207, 0.9856, 0.7441)  1 Tc 1.98
Tc (0.0101, 0.0101, 0.9567)  6 F 1.96-1.99
F (0.1556, 0.1556, 0.0863)  1 Tc 1.96
F (0.8650, 0.8650, 0.8230)  1 Tc 1.99
Tl (0.2547, 0.7650, 0.4786)  1 F 2.48
F (0.5373, 0.5373, 0.6293)  3 Tl 2.40-2.48
Tl (0.7650, 0.2547, 0.4786)  1 F 2.48
Tl (0.4994, 0.4994, 0.9865)  1 F 2.40
F (0.9856, 0.3207, 0.7441)  1 Tc 1.98
F (0.6968, 0.0346, 0.1613)  1 Tc 1.97


[14]
A plane-wave DFT calculation with PBE was carried out for a relaxed structure of Pr4DyHo2.

Computed properties:
Electronic total energy, eV per atom: -4.634
Formation energy, eV per atom: 0.063

abc: 12.6570 12.6570 6.8617
angles: 96.99 96.99 150.23
With the nearest neighbours (Å) after each atom.
Element x y z (fractional)
Dy (0.4207, 0.6708, 0.5002)  4 Ho 3.48-3.64, 8 Pr 3.62-3.75
Ho (0.3057, 0.6234, 0.9519)  7 Pr 3.46-3.87, 2 Dy 3.48-3.64, 2 Ho 3.69
Pr (0.1861, 0.7952, 0.8977)  4 Ho 3.46-3.70, 4 Pr 3.46-3.66, 2 Dy 3.71-3.75
Ho (0.6234, 0.3057, 0.4519)  7 Pr 3.46-3.87, 2 Dy 3.48-3.64, 2 Ho 3.69-3.70
Pr (0.1743, 0.7119, 0.3630)  5 Pr 3.46-3.64, 3 Ho 3.61-3.87, 2 Dy 3.62-3.68
Pr (0.1480, 0.0390, 0.1025)  4 Ho 3.46-3.69, 4 Pr 3.46-3.66, 2 Dy 3.71-3.75
Pr (0.7119, 0.1743, 0.8630)  5 Pr 3.46-3.64, 3 Ho 3.61-3.87, 2 Dy 3.62-3.68
Ho (0.1039, 0.9215, 0.5482)  7 Pr 3.46-3.87, 2 Dy 3.48-3.64, 2 Ho 3.69-3.70
Ho (0.9215, 0.1039, 0.0482)  7 Pr 3.46-3.87, 2 Dy 3.48-3.64, 2 Ho 3.69
Dy (0.6708, 0.4207, 0.0002)  4 Ho 3.48-3.64, 8 Pr 3.62-3.75
Pr (0.7952, 0.1861, 0.3977)  4 Ho 3.46-3.70, 4 Pr 3.46-3.66, 2 Dy 3.71-3.75
Pr (0.5615, 0.5993, 0.1379)  5 Pr 3.46-3.64, 3 Ho 3.61-3.87, 2 Dy 3.62-3.67
Pr (0.5993, 0.5615, 0.6379)  5 Pr 3.46-3.64, 3 Ho 3.61-3.87, 2 Dy 3.62-3.67
Pr (0.0390, 0.1480, 0.6025)  4 Ho 3.46-3.69, 4 Pr 3.46-3.66, 2 Dy 3.71-3.75


[15]
A plane-wave DFT calculation with PBE was carried out for a relaxed structure of ThInH8Ru2.

Computed properties:
Electronic total energy, eV per atom: -4.794

abc: 4.4178 4.7214 6.5369
angles: 65.57 70.25 62.11
With the nearest neighbours (Å) after each atom.
Element x y z (fractional)
H (0.3019, 0.5213, 0.8750)  1 Ru 1.67
Ru (0.7145, 0.7192, 0.8519)  4 H 1.67-1.71
In (0.0000, 0.0000, 0.0000)  8 H 2.35-2.43
H (0.6981, 0.4787, 0.1250)  1 Ru 1.67
H (0.0780, 0.5066, 0.3375)  1 Ru 1.71
H (0.4339, 0.9547, 0.6678)  1 Ru 1.68
H (0.9220, 0.4934, 0.6625)  1 Ru 1.71
H (0.5661, 0.0453, 0.3322)  1 Ru 1.68
Th (0.5000, 0.5000, 0.5000)  10 H 2.34-2.46
Ru (0.2855, 0.2808, 0.1481)  4 H 1.67-1.71
H (0.0564, 0.0453, 0.3322)  1 Ru 1.68
H (0.9436, 0.9547, 0.6678)  1 Ru 1.68


[16]
A plane-wave DFT calculation with PBE was carried out for a relaxed structure of CeGeTe2.

Computed properties:
Electronic total energy, eV per atom: -4.285
E_form (uncorrected), eV/atom: -0.076

abc: 4.1107 4.1107 9.6852
angles: 77.75 77.75 60.00
With the nearest neighbours (Å) after each atom.
Element x y z (fractional)
Ce (0.0000, 0.0000, 0.0000)  2 Te 3.00
Te (0.8934, 0.8934, 0.3199)  3 Ge 2.91, 1 Ce 3.00
Te (0.1066, 0.1066, 0.6801)  3 Ge 2.91, 1 Ce 3.00
Ge (0.5000, 0.5000, 0.5000)  6 Te 2.91